Record 1
The following is a DFT calculation (GGA-PBE) of SmGd3 after structural relaxation.

extended XYZ file:
```
4
Lattice="-2.5355 2.5485 5.0709 2.5355 -2.5485 5.0709 2.5355 2.5485 -5.0709" Properties=species:S:1:pos:R:3 pbc="T T T"
Sm 0.0000 0.0000 0.0000
Gd 2.5355 0.0000 2.5336
Gd 0.0000 0.0000 5.0709
Gd 0.0000 2.5485 2.5373
```

Output
spin magnetization	21.93	μB per formula unit
density of states at the Fermi level	1.798	states/eV per atom
offset from the most stable computed form	0.081	eV/f.u.



Record 2
The following is a DFT calculation (GGA-PBE) of TcPd2Rh8 after structural relaxation.

extended XYZ file:
```
11
Lattice="3.4513 -6.1604 0.0000 3.4513 6.1604 0.0000 -2.1845 0.0000 3.9660" Properties=species:S:1:pos:R:3 pbc="T T T"
Tc 0.0000 0.0000 0.0000
Pd 2.3591 2.3589 1.9830
Pd 2.3591 -2.3589 1.9830
Rh -0.0069 1.3545 2.5840
Rh 3.4513 3.6484 0.0000
Rh -0.0069 -1.3545 2.5840
Rh 2.4502 0.0000 0.7793
Rh 2.2680 0.0000 3.1867
Rh 4.7251 1.3545 1.3819
Rh 3.4513 -3.6484 0.0000
Rh 4.7251 -1.3545 1.3819
```

Output
spin magnetization	0.00	μB per formula unit
density of states at the Fermi level	1.456	states/eV per atom
VASP energy	-75.9	eV for the cell shown



Record 3
The following is a DFT calculation (GGA-PBE) of Te2Au after structural relaxation.

extended XYZ file:
```
3
Lattice="-1.6071 2.0575 6.4694 1.6071 -2.0575 6.4694 1.6071 2.0575 -6.4694" Properties=species:S:1:pos:R:3 pbc="T T T"
Te 0.0000 0.0000 1.8211
Te 0.0000 0.0000 11.1177
Au 0.0000 2.0575 0.0000
```

Output
spin magnetization	0.00	μB per formula unit
density of states at the Fermi level	0.623	states/eV per atom
raw formation energy	-0.049	eV per atom